Version A
{"formula": "KP2SeS", "functional": "GGA-PBE", "state": "optimized geometry", "spacegroup": "No. 123", "magnetic_moment_mub_per_cell": 1.24, "vol_a3_per_atom": 25.0, "lattice_angstrom": [[-3.079, 3.865, -0.318], [-3.393, -2.881, -2.171], [-1.938, -1.167, 4.577]], "species": ["P", "K", "S", "P", "Se"], "fractional_positions": [[0.500, 0.000, 0.000], [0.500, 0.500, 0.500], [0.000, 0.000, 0.500], [0.000, 0.500, 0.000], [0.000, 0.000, 0.000]]}



Version B
{"formula": "KP2SeS", "functional": "GGA-PBE", "state": "optimized geometry", "spacegroup": "No. 123", "magnetic_moment_mub_per_cell": 4.93, "vol_a3_per_atom": 48.4, "lattice_angstrom": [[-1.588, 4.235, -4.576], [-1.426, -4.844, -3.988], [-5.513, 0.027, 1.938]], "species": ["P", "S", "Se", "K", "P"], "fractional_positions": [[0.500, 0.000, 0.000], [0.000, 0.000, 0.500], [0.500, 0.500, 0.500], [0.000, 0.000, 0.000], [0.000, 0.500, 0.000]]}



Short version: version B is the least stable of them.



Version A
{"formula": "KPSeS2", "functional": "GGA-PBE", "state": "optimized geometry", "spacegroup": "No. 123", "magnetic_moment_mub_per_cell": 8.07, "vol_a3_per_atom": 47.6, "lattice_angstrom": [[-1.928, 4.888, -3.164], [-0.592, -3.480, -5.016], [-5.979, -1.312, 1.616]], "species": ["K", "Se", "P", "S", "S"], "fractional_positions": [[0.000, 0.000, 0.000], [0.500, 0.500, 0.500], [0.000, 0.000, 0.500], [0.000, 0.500, 0.000], [0.500, 0.000, 0.000]]}



Version B
{"formula": "KPSeS2", "functional": "GGA-PBE", "state": "optimized geometry", "spacegroup": "No. 123", "magnetic_moment_mub_per_cell": 1.25, "vol_a3_per_atom": 24.9, "lattice_angstrom": [[-3.441, 3.248, -1.768], [-2.242, -3.753, -2.530], [-2.838, -0.906, 3.859]], "species": ["S", "Se", "P", "S", "K"], "fractional_positions": [[0.500, 0.000, 0.000], [0.000, 0.000, 0.000], [0.000, 0.000, 0.500], [0.000, 0.500, 0.000], [0.500, 0.500, 0.500]]}



Short version: version A is the least stable of them.



Version A
{"formula": "KSiP2S", "functional": "GGA-PBE", "state": "optimized geometry", "spacegroup": "No. 123", "magnetic_moment_mub_per_cell": 0.25, "vol_a3_per_atom": 21.2, "lattice_angstrom": [[4.620, 0.000, 0.000], [0.000, 4.620, 0.000], [0.000, 0.000, 4.955]], "species": ["P", "K", "Si", "S", "P"], "fractional_positions": [[0.000, 0.500, 0.000], [0.500, 0.500, 0.500], [0.000, 0.000, 0.000], [0.000, 0.000, 0.500], [0.500, 0.000, 0.000]]}



Version B
{"formula": "KSiP2S", "functional": "GGA-PBE", "state": "optimized geometry", "spacegroup": "No. 123", "magnetic_moment_mub_per_cell": 0.83, "vol_a3_per_atom": 28.6, "lattice_angstrom": [[-0.707, -0.878, 5.080], [1.761, -4.861, -0.595], [4.909, 1.660, 0.970]], "species": ["S", "P", "Si", "K", "P"], "fractional_positions": [[0.000, 0.000, 0.500], [0.000, 0.500, 0.000], [0.500, 0.500, 0.500], [0.000, 0.000, 0.000], [0.500, 0.000, 0.000]]}



Short version: version B is the least stable of them.



Version A
{"formula": "KSnP2S", "functional": "GGA-PBE", "state": "optimized geometry", "spacegroup": "No. 123", "magnetic_moment_mub_per_cell": 2.27, "vol_a3_per_atom": 28.4, "lattice_angstrom": [[5.190, 0.000, 0.000], [0.000, 5.190, 0.000], [0.000, 0.000, 5.274]], "species": ["S", "Sn", "P", "P", "K"], "fractional_positions": [[0.000, 0.000, 0.500], [0.000, 0.000, 0.000], [0.000, 0.500, 0.000], [0.500, 0.000, 0.000], [0.500, 0.500, 0.500]]}



Version B
{"formula": "KSnP2S", "functional": "GGA-PBE", "state": "optimized geometry", "spacegroup": "No. 123", "magnetic_moment_mub_per_cell": 1.17, "vol_a3_per_atom": 29.4, "lattice_angstrom": [[5.243, 0.000, 0.000], [0.000, 5.243, 0.000], [0.000, 0.000, 5.347]], "species": ["S", "K", "P", "P", "Sn"], "fractional_positions": [[0.000, 0.000, 0.500], [0.000, 0.000, 0.000], [0.000, 0.500, 0.000], [0.500, 0.000, 0.000], [0.500, 0.500, 0.500]]}



Short version: version B is the least stable of them.



Version A
{"formula": "KTaP2S", "functional": "GGA-PBE", "state": "optimized geometry", "spacegroup": "No. 123", "magnetic_moment_mub_per_cell": 0.35, "vol_a3_per_atom": 23.5, "lattice_angstrom": [[4.904, 0.000, 0.000], [0.000, 4.904, 0.000], [0.000, 0.000, 4.885]], "species": ["Ta", "S", "P", "P", "K"], "fractional_positions": [[0.000, 0.000, 0.000], [0.000, 0.000, 0.500], [0.000, 0.500, 0.000], [0.500, 0.000, 0.000], [0.500, 0.500, 0.500]]}



Version B
{"formula": "KTaP2S", "functional": "GGA-PBE", "state": "optimized geometry", "spacegroup": "No. 123", "magnetic_moment_mub_per_cell": 0.00, "vol_a3_per_atom": 23.2, "lattice_angstrom": [[-0.157, 1.179, 4.676], [3.918, -2.698, 0.811], [2.902, 3.945, -0.897]], "species": ["K", "P", "S", "Ta", "P"], "fractional_positions": [[0.000, 0.000, 0.000], [0.000, 0.500, 0.000], [0.000, 0.000, 0.500], [0.500, 0.500, 0.500], [0.500, 0.000, 0.000]]}



Short version: version B is the least stable of them.



Version A
{"formula": "KTaPS2", "functional": "GGA-PBE", "state": "optimized geometry", "spacegroup": "No. 123", "magnetic_moment_mub_per_cell": 0.00, "vol_a3_per_atom": 24.2, "lattice_angstrom": [[-2.855, 3.838, -1.398], [0.182, -1.584, -4.721], [-3.996, -2.699, 0.752]], "species": ["S", "Ta", "S", "P", "K"], "fractional_positions": [[0.500, 0.000, 0.000], [0.500, 0.500, 0.500], [0.000, 0.500, 0.000], [0.000, 0.000, 0.500], [0.000, 0.000, 0.000]]}



Version B
{"formula": "KTaPS2", "functional": "GGA-PBE", "state": "optimized geometry", "spacegroup": "No. 123", "magnetic_moment_mub_per_cell": 0.00, "vol_a3_per_atom": 23.3, "lattice_angstrom": [[4.866, 0.000, 0.000], [0.000, 4.866, 0.000], [0.000, 0.000, 4.912]], "species": ["S", "S", "P", "K", "Ta"], "fractional_positions": [[0.000, 0.500, 0.000], [0.500, 0.000, 0.000], [0.000, 0.000, 0.500], [0.500, 0.500, 0.500], [0.000, 0.000, 0.000]]}



Short version: version A is the least stable of them.



Version A
{"formula": "KTeP2S", "functional": "GGA-PBE", "state": "optimized geometry", "spacegroup": "No. 123", "magnetic_moment_mub_per_cell": 0.61, "vol_a3_per_atom": 29.7, "lattice_angstrom": [[-1.965, -4.966, 0.250], [4.194, -1.800, -2.785], [2.596, -0.805, 4.430]], "species": ["Te", "P", "K", "S", "P"], "fractional_positions": [[0.500, 0.500, 0.500], [0.000, 0.500, 0.000], [0.000, 0.000, 0.000], [0.000, 0.000, 0.500], [0.500, 0.000, 0.000]]}



Version B
{"formula": "KTeP2S", "functional": "GGA-PBE", "state": "optimized geometry", "spacegroup": "No. 123", "magnetic_moment_mub_per_cell": 0.51, "vol_a3_per_atom": 28.4, "lattice_angstrom": [[5.166, 0.000, 0.000], [0.000, 5.166, 0.000], [0.000, 0.000, 5.318]], "species": ["P", "Te", "P", "S", "K"], "fractional_positions": [[0.000, 0.500, 0.000], [0.000, 0.000, 0.000], [0.500, 0.000, 0.000], [0.000, 0.000, 0.500], [0.500, 0.500, 0.500]]}



Short version: version A is the least stable of them.



Version A
{"formula": "KVP2S", "functional": "GGA-PBE", "state": "optimized geometry", "spacegroup": "No. 123", "magnetic_moment_mub_per_cell": 0.00, "vol_a3_per_atom": 20.5, "lattice_angstrom": [[-1.751, 2.105, -3.751], [-3.241, -3.309, -0.344], [-2.894, 2.546, 2.780]], "species": ["S", "P", "V", "P", "K"], "fractional_positions": [[0.000, 0.000, 0.500], [0.500, 0.000, 0.000], [0.000, 0.000, 0.000], [0.000, 0.500, 0.000], [0.500, 0.500, 0.500]]}



Version B
{"formula": "KVP2S", "functional": "GGA-PBE", "state": "optimized geometry", "spacegroup": "No. 123", "magnetic_moment_mub_per_cell": 1.99, "vol_a3_per_atom": 27.2, "lattice_angstrom": [[-0.541, -4.326, -2.649], [0.190, -2.679, 4.337], [-5.195, 0.370, 0.456]], "species": ["P", "S", "P", "K", "V"], "fractional_positions": [[0.000, 0.500, 0.000], [0.000, 0.000, 0.500], [0.500, 0.000, 0.000], [0.000, 0.000, 0.000], [0.500, 0.500, 0.500]]}



Short version: version B is the least stable of them.



Version A
{"formula": "KP2WS", "functional": "GGA-PBE", "state": "optimized geometry", "spacegroup": "No. 123", "magnetic_moment_mub_per_cell": 0.00, "vol_a3_per_atom": 22.1, "lattice_angstrom": [[4.761, 0.000, 0.000], [0.000, 4.761, 0.000], [0.000, 0.000, 4.882]], "species": ["K", "P", "S", "P", "W"], "fractional_positions": [[0.500, 0.500, 0.500], [0.000, 0.500, 0.000], [0.000, 0.000, 0.500], [0.500, 0.000, 0.000], [0.000, 0.000, 0.000]]}



Version B
{"formula": "KP2WS", "functional": "GGA-PBE", "state": "optimized geometry", "spacegroup": "No. 123", "magnetic_moment_mub_per_cell": 2.06, "vol_a3_per_atom": 25.2, "lattice_angstrom": [[4.964, 0.000, 0.000], [0.000, 4.964, 0.000], [0.000, 0.000, 5.116]], "species": ["S", "P", "P", "W", "K"], "fractional_positions": [[0.000, 0.000, 0.500], [0.000, 0.500, 0.000], [0.500, 0.000, 0.000], [0.500, 0.500, 0.500], [0.000, 0.000, 0.000]]}



Short version: version B is the least stable of them.



Version A
{"formula": "KPWS2", "functional": "GGA-PBE", "state": "optimized geometry", "spacegroup": "No. 123", "magnetic_moment_mub_per_cell": 1.56, "vol_a3_per_atom": 27.0, "lattice_angstrom": [[5.179, 0.000, 0.000], [0.000, 5.179, 0.000], [0.000, 0.000, 5.037]], "species": ["S", "K", "P", "W", "S"], "fractional_positions": [[0.000, 0.500, 0.000], [0.000, 0.000, 0.000], [0.000, 0.000, 0.500], [0.500, 0.500, 0.500], [0.500, 0.000, 0.000]]}



Version B
{"formula": "KPWS2", "functional": "GGA-PBE", "state": "optimized geometry", "spacegroup": "No. 123", "magnetic_moment_mub_per_cell": 0.00, "vol_a3_per_atom": 22.0, "lattice_angstrom": [[4.803, 0.000, 0.000], [0.000, 4.803, 0.000], [0.000, 0.000, 4.765]], "species": ["S", "P", "S", "K", "W"], "fractional_positions": [[0.000, 0.500, 0.000], [0.000, 0.000, 0.500], [0.500, 0.000, 0.000], [0.500, 0.500, 0.500], [0.000, 0.000, 0.000]]}



Short version: version A is the least stable of them.



Version A
{"formula": "KZrPS2", "functional": "GGA-PBE", "state": "optimized geometry", "spacegroup": "No. 123", "magnetic_moment_mub_per_cell": 0.70, "vol_a3_per_atom": 26.4, "lattice_angstrom": [[5.080, 0.000, 0.000], [0.000, 5.080, 0.000], [0.000, 0.000, 5.117]], "species": ["S", "S", "Zr", "P", "K"], "fractional_positions": [[0.500, 0.000, 0.000], [0.000, 0.500, 0.000], [0.000, 0.000, 0.000], [0.000, 0.000, 0.500], [0.500, 0.500, 0.500]]}



Version B
{"formula": "KZrPS2", "functional": "GGA-PBE", "state": "optimized geometry", "spacegroup": "No. 123", "magnetic_moment_mub_per_cell": 0.11, "vol_a3_per_atom": 25.2, "lattice_angstrom": [[5.054, 0.000, 0.000], [0.000, 5.054, 0.000], [0.000, 0.000, 4.924]], "species": ["K", "P", "Zr", "S", "S"], "fractional_positions": [[0.000, 0.000, 0.000], [0.000, 0.000, 0.500], [0.500, 0.500, 0.500], [0.000, 0.500, 0.000], [0.500, 0.000, 0.000]]}



Short version: version B is the least stable of them.



Version A
{"formula": "KZrP2S", "functional": "GGA-PBE", "state": "optimized geometry", "spacegroup": "No. 123", "magnetic_moment_mub_per_cell": 0.00, "vol_a3_per_atom": 26.6, "lattice_angstrom": [[-3.915, -2.447, 2.181], [2.840, -4.229, 0.353], [1.634, 1.480, 4.593]], "species": ["K", "P", "P", "Zr", "S"], "fractional_positions": [[0.500, 0.500, 0.500], [0.500, 0.000, 0.000], [0.000, 0.500, 0.000], [0.000, 0.000, 0.000], [0.000, 0.000, 0.500]]}



Version B
{"formula": "KZrP2S", "functional": "GGA-PBE", "state": "optimized geometry", "spacegroup": "No. 123", "magnetic_moment_mub_per_cell": 0.00, "vol_a3_per_atom": 24.2, "lattice_angstrom": [[4.874, 0.000, 0.000], [0.000, 4.874, 0.000], [0.000, 0.000, 5.097]], "species": ["Zr", "K", "S", "P", "P"], "fractional_positions": [[0.500, 0.500, 0.500], [0.000, 0.000, 0.000], [0.000, 0.000, 0.500], [0.000, 0.500, 0.000], [0.500, 0.000, 0.000]]}



Short version: version B is the least stable of them.



Version A
{"formula": "KSb2TeP", "functional": "GGA-PBE", "state": "optimized geometry", "spacegroup": "No. 123", "magnetic_moment_mub_per_cell": 1.66, "vol_a3_per_atom": 43.3, "lattice_angstrom": [[-2.738, 4.422, 3.089], [-5.179, -3.124, -0.118], [1.477, -2.641, 5.090]], "species": ["Sb", "Sb", "P", "Te", "K"], "fractional_positions": [[0.500, 0.000, 0.000], [0.000, 0.500, 0.000], [0.500, 0.500, 0.500], [0.000, 0.000, 0.500], [0.000, 0.000, 0.000]]}



Version B
{"formula": "KSb2TeP", "functional": "GGA-PBE", "state": "optimized geometry", "spacegroup": "No. 123", "magnetic_moment_mub_per_cell": 0.73, "vol_a3_per_atom": 31.8, "lattice_angstrom": [[-1.919, 4.941, -0.409], [-3.286, -1.596, -3.863], [-3.931, -1.209, 3.844]], "species": ["Sb", "Sb", "Te", "P", "K"], "fractional_positions": [[0.500, 0.000, 0.000], [0.000, 0.500, 0.000], [0.000, 0.000, 0.500], [0.000, 0.000, 0.000], [0.500, 0.500, 0.500]]}



Short version: version A is the least stable of them.



Version A
{"formula": "K2ScP2", "functional": "GGA-PBE", "state": "optimized geometry", "spacegroup": "No. 139", "magnetic_moment_mub_per_cell": 0.00, "vol_a3_per_atom": 27.2, "lattice_angstrom": [[-2.750, 2.750, 4.499], [2.750, -2.750, 4.499], [2.750, 2.750, -4.499]], "species": ["P", "K", "Sc", "K", "P"], "fractional_positions": [[0.250, 0.750, 0.500], [0.646, 0.646, 0.000], [0.000, 0.000, 0.000], [0.354, 0.354, 0.000], [0.750, 0.250, 0.500]]}



Version B
{"formula": "K2ScP2", "functional": "GGA-PBE", "state": "optimized geometry", "spacegroup": "No. 127", "magnetic_moment_mub_per_cell": 1.77, "vol_a3_per_atom": 25.9, "lattice_angstrom": [[6.840, 0.000, 0.000], [0.000, 6.840, 0.000], [0.000, 0.000, 5.531]], "species": ["Sc", "P", "P", "Sc", "K", "P", "K", "P", "K", "K"], "fractional_positions": [[0.500, 0.500, 0.000], [0.618, 0.118, 0.000], [0.382, 0.882, 0.000], [0.000, 0.000, 0.000], [0.329, 0.171, 0.500], [0.118, 0.382, 0.000], [0.829, 0.329, 0.500], [0.882, 0.618, 0.000], [0.171, 0.671, 0.500], [0.671, 0.829, 0.500]]}



Short version: version A is the least stable of them.